The following is a PBE calculation of an optimized crystal structure of CaZrTl, from Alexandria.

a b c (Å): 3.642 3.642 26.365
angles (deg): 90.00 90.00 90.00
Space group I4/mmm (No. 139)
Symmetry-distinct sites (fractional):
Ca1 0.000 0.000 0.071 (multiplicity 4)
Zr1 0.000 0.000 0.217 (multiplicity 4)
Tl1 0.000 0.000 0.351 (multiplicity 4)

Summary:
ΔH_f (0 K) (eV/atom): -0.095
Total magnetic moment (Bohr magnetons per cell): 0.00
Electronic total energy (hartree per atom): -0.162
Distance to the lowest polymorph of the same formula (meV per atom): 0